# 1
DFT (PBE-GGA) results for a geometry-optimized Nd5Tm2Ge4 structure.

## Properties
For the size of the total moment, the calculation gives 0.00 μB/f.u.

Lattice parameters (Å, degrees): 3.836 8.270 13.035 123.76 98.46 90.00
Sites, in units of the cell vectors:
Tm 0.268 0.195 0.535
Tm 0.732 0.805 0.465
Nd 0.899 0.224 0.798
Nd 0.101 0.776 0.202
Nd 0.500 0.000 0.000
Nd 0.837 0.647 0.675
Nd 0.163 0.353 0.325
Ge 0.395 0.506 0.791
Ge 0.605 0.494 0.209
Ge 0.972 0.675 0.943
Ge 0.028 0.325 0.057

# 2
DFT (PBE-GGA) results for a geometry-optimized NdUGe2 structure.

## Properties
The distance to the lowest polymorph of the same formula is 0 meV/atom. For the size of the total moment, the calculation gives 0.98 μB/f.u.

Lattice parameters (Å, degrees): 4.203 4.203 7.232 73.10 73.10 60.00
Sites, in units of the cell vectors:
Nd 0.500 0.500 0.500
Ge 0.259 0.259 0.224
Ge 0.741 0.741 0.776
U 0.000 0.000 0.000

# 3
DFT (PBE-GGA) results for a geometry-optimized NdUGe2 structure.

## Properties
The distance to the lowest polymorph of the same formula is 3 meV/atom. For the size of the total moment, the calculation gives 2.65 μB/f.u.

Lattice parameters (Å, degrees): 3.364 3.364 8.124 90.00 90.00 90.00
Sites, in units of the cell vectors:
Ge 0.000 0.000 0.760
Ge 0.000 0.000 0.240
Nd 0.500 0.500 0.500
U 0.500 0.500 0.000

| no. | formation enthalpy at 0 K (kJ/mol of formula units) | D(E_F) (states/eV/f.u.) | electronic total energy (eV per atom) |
| --- | --- | --- | --- |
| 1 | -299 | 12.81 | -4.94 |
| 2 | -139 | 6.39 | -6.68 |
| 3 | -138 | 6.14 | -6.68 |